VASP calculation (PBE) on crystalline Y2CoAg at its relaxed geometry.

```
Y2CoAg
1.0
0.000 3.430 3.430
3.430 0.000 3.430
3.430 3.430 0.000
Y Co Ag
2 1 1
Cartesian
0.000 0.000 0.000 Y
1.715 1.715 1.715 Y
5.145 5.145 5.145 Co
3.430 3.430 3.430 Ag
```

Calculated values
**Spin magnetization**: 0.8 μB/f.u.
**Formation energy from the elements**: 167 meV/atom
**Uncorrected energy**: -5.55 eV per atom